Ca2TcTe4 | PBE-GGA | optimized geometry

## Properties
Its uncorrected formation energy is -0.5156 eV per atom. The final energy is -4.364 eV per atom.

Cell: 5.409 5.409 8.664 Å, 71.81 71.81 90.00°
Last column: magnetic moment on the atom in μB.
Fractional coordinates of all 7 atoms:
1 Ca 0.372 0.372 0.256  0.02
2 Ca 0.628 0.628 0.744  0.02
3 Te 0.177 0.177 0.647  0.08
4 Te 0.823 0.823 0.353  0.08
5 Te 0.000 0.500 0.000  0.06
6 Te 0.500 0.000 0.000  0.06
7 Tc 0.000 0.000 0.000  2.13


LiDy2O2F2 | PBE-GGA | optimized geometry

## Properties
Its uncorrected formation energy is -2.9747 eV per atom. The final energy is -6.514 eV per atom. For the energy above the most stable polymorph in this dataset, the calculation gives 154.2 meV/atom.

Cell: 10.056 10.056 10.056 Å, 19.46 19.46 19.46°
Fractional coordinates of all 7 atoms:
1 Li 0.000 0.000 0.000
2 Dy 0.248 0.248 0.248
3 Dy 0.752 0.752 0.752
4 O 0.378 0.378 0.378
5 O 0.622 0.622 0.622
6 F 0.128 0.128 0.128
7 F 0.872 0.872 0.872


FeMoAs2 | PBE-GGA | optimized geometry

## Properties
As for the calculated formation energy: 25 kJ/mol of formula units. The final energy is -7.085 eV per atom. For the energy above the most stable polymorph in this dataset, the calculation gives 245.2 meV/atom.

Cell: 3.152 3.152 5.977 Å, 90.00 90.00 90.00°
Last column: magnetic moment on the atom in μB.
Fractional coordinates of all 4 atoms:
1 As 0.000 0.000 0.001  -0.02
2 As 0.000 0.000 0.499  -0.02
3 Fe 0.500 0.500 0.250  2.44
4 Mo 0.500 0.500 0.750  0.20


KDy3F10 | PBE-GGA | optimized geometry

## Properties
Its uncorrected formation energy is -3.9987 eV per atom. The final energy is -6.400 eV per atom.

Cell: 8.248 8.248 8.248 Å, 60.00 60.00 60.00°
Fractional coordinates of all 28 atoms:
1 K 0.250 0.250 0.250
2 K 0.750 0.750 0.750
3 Dy 0.760 0.240 0.240
4 Dy 0.240 0.760 0.760
5 Dy 0.240 0.760 0.240
6 Dy 0.760 0.240 0.760
7 Dy 0.240 0.240 0.760
8 Dy 0.760 0.760 0.240
9 F 0.830 0.500 0.500
10 F 0.170 0.500 0.500
11 F 0.500 0.830 0.170
12 F 0.500 0.170 0.830
13 F 0.500 0.830 0.500
14 F 0.170 0.500 0.830
15 F 0.500 0.170 0.500
16 F 0.830 0.500 0.170
17 F 0.500 0.500 0.830
18 F 0.500 0.500 0.170
19 F 0.170 0.830 0.500
20 F 0.830 0.170 0.500
21 F 0.112 0.112 0.112
22 F 0.888 0.888 0.888
23 F 0.112 0.112 0.665
24 F 0.112 0.665 0.112
25 F 0.888 0.888 0.335
26 F 0.888 0.335 0.888
27 F 0.665 0.112 0.112
28 F 0.335 0.888 0.888